Density functional theory data (PBE) for a relaxed structure of AcSmLuAg.

Calculated values
Magnetic moment = 0.0 μB per formula unit
E_form = 0.19 eV per atom
Final energy = -3.8601 eV per atom

Cell lengths 5.568, 5.568, 5.568 Å; angles 60.00, 60.00, 60.00 degrees
Sites, in units of the cell vectors:
Ac  0.750  0.750  0.750
Lu  0.500  0.500  0.500
Ag  0.250  0.250  0.250
Sm  0.000  0.000  0.000